[1]
Entry from the Alexandria database: KLi2CuTc after structural relaxation (PBE).

Lattice parameters (Å, degrees): 5.143 5.143 4.833 90.00 90.00 90.00
Element x y z (fractional)
K1 0.000 0.000 0.000
Li1 0.000 0.500 0.500
Li2 0.500 0.000 0.500
Cu1 0.500 0.500 0.000
Tc1 0.500 0.500 0.500

Computed properties:
Formation enthalpy at 0 K (eV per atom): 0.877
Polymorph energy (0 for the lowest one) (eV per atom): 0.000
SG: No. 123



[2]
Entry from the Alexandria database: RbTaCr2W after structural relaxation (PBE).

Lattice parameters (Å, degrees): 4.819 4.819 5.660 90.00 90.00 90.00
Element x y z (fractional)
Rb1 0.000 0.000 0.000
Ta1 0.000 0.000 0.500
Cr1 0.000 0.500 0.500
Cr2 0.500 0.000 0.500
W1 0.500 0.500 0.000

Computed properties:
Formation enthalpy at 0 K (eV per atom): 2.770
SG: No. 123



[3]
Entry from the Alexandria database: BrCl3 after structural relaxation (PBE).

Lattice parameters (Å, degrees): 3.313 3.313 36.868 90.00 90.00 120.00
Element x y z (fractional)
Br1 0.000 0.000 0.000
Br2 0.333 0.667 0.667
Br3 0.667 0.333 0.333
Cl1 0.000 0.000 0.440
Cl2 0.000 0.000 0.500
Cl3 0.000 0.000 0.560
Cl4 0.333 0.667 0.107
Cl5 0.333 0.667 0.167
Cl6 0.333 0.667 0.226
Cl7 0.667 0.333 0.774
Cl8 0.667 0.333 0.833
Cl9 0.667 0.333 0.893

Computed properties:
Formation energy (no corrections) (meV/atom): 340
SG: No. 166



Number 1: V 25.57 Å³ per atom, density of states at the Fermi level 1.61 states/eV per atom. Number 2: V 26.28 Å³ per atom, density of states at the Fermi level 0.79 states/eV per atom. Number 3: V 29.20 Å³ per atom, density of states at the Fermi level 1.04 states/eV per atom.